The following is a DFT calculation (PBE) of a geometry-optimized BiTe2IN structure.

Cell lengths 5.0485, 5.0485, 4.8588 Å; angles 90.00, 90.00, 90.00 degrees
Last column: nearest neighbours and their distance in Å.
Positions (direct):
Bi 0.0000 0.0000 0.0000  8 Te 3.50, 4 I 3.57
Te 0.0000 0.5000 0.5000  2 N 2.52
Te 0.5000 0.0000 0.5000  2 N 2.52
I 0.5000 0.5000 0.0000  2 N 2.43
N 0.5000 0.5000 0.5000  2 I 2.43, 4 Te 2.52

Properties
Fermi-level density of states (states/eV per cell): 3.71
Calculated total energy (eV per atom): -3.2896
Total moment (μB per formula unit): 0.00
Energy relative to the elements, uncorrected (eV per atom): 0.718
Space-group type: P4/mmm (123)